1.
# Cr4O3F9

An optimized crystal structure of Cr4O3F9 (GGA-PBEsol, the Alexandria database).

abc: 4.8721 5.1609 8.5784
angles: 72.78 89.29 61.95
Each line ends with the local moment (μB).
Element x y z (fractional)
Cr: 0.7435 0.5023 0.2499  2.00
Cr: 0.5166 0.0121 0.4965  2.38
Cr: 0.2768 0.4833 0.7562  2.49
Cr: 0.9599 0.0033 0.9922  1.99
O: 0.8269 0.7484 0.0874  -0.09
O: 0.6872 0.2401 0.8152  -0.14
O: 0.6727 0.2584 0.4148  -0.14
F: 0.8205 0.7506 0.6856  0.01
F: 0.7636 0.7305 0.3852  0.03
F: 0.7304 0.2714 0.1152  0.03
F: 0.3200 0.7541 0.5661  0.01
F: 0.3110 0.7688 0.1832  0.03
F: 0.2442 0.7477 0.8773  0.02
F: 0.2577 0.2500 0.6244  0.02
F: 0.1796 0.2460 0.9382  0.02
F: 0.1896 0.2330 0.3126  0.03

Values from the calculation:
For the raw formation energy, the calculation gives -2.330 eV/atom.

2.
# CrPO2F

An optimized crystal structure of CrPO2F (GGA-PBEsol, the Alexandria database).

abc: 3.3604 4.1835 4.1835
angles: 90.00 90.00 90.00
Each line ends with the local moment (μB).
Element x y z (fractional)
Cr: 0.5000 0.5000 0.5000  3.53
F: 0.0000 0.0000 0.0000  0.11
O: 0.0000 0.0000 0.5000  0.26
O: 0.0000 0.5000 0.0000  0.26
P: 0.5000 0.0000 0.0000  -0.05

Values from the calculation:
For the raw formation energy, the calculation gives 0.659 eV/atom.

3.
# CrPO2F

An optimized crystal structure of CrPO2F (GGA-PBEsol, the Alexandria database).

abc: 3.4815 3.4815 4.7560
angles: 90.00 90.00 90.00
Element x y z (fractional)
Cr: 0.0000 0.0000 0.0000
F: 0.5000 0.5000 0.5000
O: 0.0000 0.5000 0.0000
O: 0.5000 0.0000 0.0000
P: 0.0000 0.0000 0.5000

Values from the calculation:
For the raw formation energy, the calculation gives -1.008 eV/atom.

4.
# CrPO4F

An optimized crystal structure of CrPO4F (GGA-PBEsol, the Alexandria database).

abc: 5.0615 5.0848 7.1435
angles: 107.38 109.10 96.58
Each line ends with the local moment (μB).
Element x y z (fractional)
Cr: 0.0000 0.0000 0.0000  1.96
Cr: 0.0000 0.0000 0.5000  2.02
P: 0.3262 0.6432 0.7604  0.02
P: 0.6738 0.3568 0.2396  0.02
O: 0.6406 0.7706 0.9157  -0.03
O: 0.2515 0.7818 0.5910  -0.02
O: 0.2978 0.3246 0.6527  -0.03
O: 0.8714 0.3163 0.1134  -0.01
O: 0.1286 0.6837 0.8866  -0.01
O: 0.7022 0.6754 0.3473  -0.03
O: 0.7485 0.2182 0.4090  -0.02
O: 0.3594 0.2294 0.0843  -0.03
F: 0.1119 0.9436 0.2639  0.01
F: 0.8881 0.0564 0.7361  0.01

Values from the calculation:
For the raw formation energy, the calculation gives -2.105 eV/atom.

5.
# ZnCr6Si2Pb10O32F2

An optimized crystal structure of ZnCr6Si2Pb10O32F2 (GGA-PBEsol, the Alexandria database).

abc: 9.5052 9.8325 9.9276
angles: 65.64 71.56 68.74
Element x y z (fractional)
Zn: 0.5000 0.0000 0.5000
Cr: 0.0409 0.6447 0.2877
Cr: 0.9591 0.3553 0.7123
Cr: 0.7445 0.8405 0.9866
Cr: 0.2555 0.1595 0.0134
Cr: 0.7656 0.1657 0.5090
Cr: 0.2344 0.8343 0.4910
Si: 0.4750 0.3384 0.2084
Si: 0.5250 0.6616 0.7916
Pb: 0.3686 0.7476 0.1541
Pb: 0.6314 0.2524 0.8459
Pb: 0.3402 0.3493 0.5674
Pb: 0.6598 0.6507 0.4326
Pb: 0.1690 0.9689 0.7911
Pb: 0.8310 0.0311 0.2089
Pb: 0.1477 0.2393 0.3255
Pb: 0.8523 0.7607 0.6745
Pb: 0.7686 0.4653 0.0810
Pb: 0.2314 0.5347 0.9190
O: 0.9887 0.5095 0.2731
O: 0.0113 0.4905 0.7269
O: 0.1952 0.5716 0.3626
O: 0.8048 0.4284 0.6374
O: 0.1077 0.2644 0.6068
O: 0.8923 0.7356 0.3932
O: 0.0819 0.7724 0.1221
O: 0.9181 0.2276 0.8779
O: 0.6475 0.7272 0.1380
O: 0.3525 0.2728 0.8620
O: 0.6420 0.9421 0.8572
O: 0.3580 0.0579 0.1428
O: 0.7918 0.9631 0.0261
O: 0.2082 0.0369 0.9739
O: 0.8996 0.7215 0.9195
O: 0.1004 0.2785 0.0805
O: 0.8832 0.0777 0.6254
O: 0.1168 0.9223 0.3746
O: 0.8542 0.2580 0.3426
O: 0.1458 0.7420 0.6574
O: 0.7134 0.0316 0.4862
O: 0.2866 0.9684 0.5138
O: 0.6136 0.2885 0.5769
O: 0.3864 0.7115 0.4231
O: 0.5104 0.4916 0.2068
O: 0.4896 0.5084 0.7932
O: 0.4287 0.2279 0.3850
O: 0.5713 0.7721 0.6150
O: 0.3612 0.7423 0.8869
O: 0.6388 0.2577 0.1131
O: 0.3249 0.3810 0.1371
O: 0.6751 0.6190 0.8629
F: 0.3843 0.0712 0.6838
F: 0.6157 0.9288 0.3162

Values from the calculation:
For the raw formation energy, the calculation gives -1.757 eV/atom.

6.
# CrRuOF2

An optimized crystal structure of CrRuOF2 (GGA-PBEsol, the Alexandria database).

abc: 3.8020 3.9241 3.9241
angles: 90.00 90.00 90.00
Each line ends with the local moment (μB).
Element x y z (fractional)
Ru: 0.5000 0.5000 0.5000  2.83
F: 0.0000 0.0000 0.5000  0.07
F: 0.0000 0.5000 0.0000  0.07
O: 0.5000 0.0000 0.0000  0.09
Cr: 0.0000 0.0000 0.0000  2.87

Values from the calculation:
For the raw formation energy, the calculation gives -0.683 eV/atom.